No. 1
A plane-wave DFT calculation with PBE-GGA was carried out for a relaxed structure of ReAsRh2.

As for the formation energy from the elements: 33 meV per atom. Its spin magnetization is 0.00 μB/f.u.

Cell and atoms, written as CIF:
```
data_ReAsRh2
_space_group_name_H-M_alt 'P 1'
_space_group_IT_number 1
_cell_length_a 4.704
_cell_length_b 4.704
_cell_length_c 4.726
_cell_angle_alpha 87.69
_cell_angle_beta 87.69
_cell_angle_gamma 34.98
loop_
_space_group_symop_operation_xyz
'x,y,z'
loop_
_atom_site_label
_atom_site_fract_x
_atom_site_fract_y
_atom_site_fract_z
_atom_site_occupancy
Rh1 0.003 0.003 0.018 1
Re1 0.272 0.272 0.213 1
As1 0.488 0.488 0.546 1
Rh2 0.737 0.737 0.724 1
```

No. 2
A plane-wave DFT calculation with PBE-GGA was carried out for a relaxed structure of ReAs2Rh2.

As for the formation energy from the elements: 139 meV per atom. Its spin magnetization is 0.00 μB/f.u.

Cell and atoms, written as CIF:
```
data_ReAs2Rh2
_space_group_name_H-M_alt 'P 1'
_space_group_IT_number 1
_cell_length_a 7.115
_cell_length_b 7.115
_cell_length_c 2.978
_cell_angle_alpha 90.00
_cell_angle_beta 90.00
_cell_angle_gamma 90.00
loop_
_space_group_symop_operation_xyz
'x,y,z'
loop_
_atom_site_label
_atom_site_fract_x
_atom_site_fract_y
_atom_site_fract_z
_atom_site_occupancy
Rh1 0.854 0.354 0.500 1
Rh2 0.146 0.646 0.500 1
As1 0.343 0.843 0.000 1
Re1 0.500 0.500 0.000 1
As2 0.157 0.343 0.000 1
As3 0.843 0.657 0.000 1
As4 0.657 0.157 0.000 1
Re2 0.000 0.000 0.000 1
Rh3 0.646 0.854 0.500 1
Rh4 0.354 0.146 0.500 1
```

No. 3
A plane-wave DFT calculation with PBE-GGA was carried out for a relaxed structure of ReAsRh3.

As for the formation energy from the elements: 1067 meV per atom. Its spin magnetization is 4.85 μB/f.u.

Cell and atoms, written as CIF:
```
data_ReAsRh3
_space_group_name_H-M_alt 'P 1'
_space_group_IT_number 1
_cell_length_a 4.504
_cell_length_b 4.504
_cell_length_c 4.504
_cell_angle_alpha 90.00
_cell_angle_beta 90.00
_cell_angle_gamma 90.00
loop_
_space_group_symop_operation_xyz
'x,y,z'
loop_
_atom_site_label
_atom_site_fract_x
_atom_site_fract_y
_atom_site_fract_z
_atom_site_occupancy
Rh1 0.000 0.500 0.000 1
Rh2 0.000 0.000 0.500 1
Re1 0.500 0.500 0.500 1
As1 0.000 0.000 0.000 1
Rh3 0.500 0.000 0.000 1
```

No. 4
A plane-wave DFT calculation with PBE-GGA was carried out for a relaxed structure of Re2AsRh.

As for the formation energy from the elements: 382 meV per atom. Its spin magnetization is 0.00 μB/f.u.

Cell and atoms, written as CIF:
```
data_Re2AsRh
_space_group_name_H-M_alt 'P 1'
_space_group_IT_number 1
_cell_length_a 2.767
_cell_length_b 2.767
_cell_length_c 9.151
_cell_angle_alpha 90.00
_cell_angle_beta 90.00
_cell_angle_gamma 117.66
loop_
_space_group_symop_operation_xyz
'x,y,z'
loop_
_atom_site_label
_atom_site_fract_x
_atom_site_fract_y
_atom_site_fract_z
_atom_site_occupancy
Re1 0.000 0.000 0.009 1
Rh1 0.000 0.000 0.501 1
As1 0.500 0.500 0.743 1
Re2 0.500 0.500 0.247 1
```

No. 5
A plane-wave DFT calculation with PBE-GGA was carried out for a relaxed structure of Re2AsRh.

As for the formation energy from the elements: 245 meV per atom. Its spin magnetization is 0.00 μB/f.u.

Cell and atoms, written as CIF:
```
data_Re2AsRh
_space_group_name_H-M_alt 'P 1'
_space_group_IT_number 1
_cell_length_a 2.957
_cell_length_b 2.957
_cell_length_c 6.693
_cell_angle_alpha 90.00
_cell_angle_beta 90.00
_cell_angle_gamma 90.00
loop_
_space_group_symop_operation_xyz
'x,y,z'
loop_
_atom_site_label
_atom_site_fract_x
_atom_site_fract_y
_atom_site_fract_z
_atom_site_occupancy
Rh1 0.500 0.500 0.250 1
Re1 0.000 0.000 0.977 1
As1 0.500 0.500 0.750 1
Re2 0.000 0.000 0.523 1
```

No. 6
A plane-wave DFT calculation with PBE-GGA was carried out for a relaxed structure of ReAs3Rh.

As for the formation energy from the elements: 887 meV per atom. Its spin magnetization is 0.00 μB/f.u.

Cell and atoms, written as CIF:
```
data_ReAs3Rh
_space_group_name_H-M_alt 'P 1'
_space_group_IT_number 1
_cell_length_a 4.769
_cell_length_b 4.769
_cell_length_c 4.769
_cell_angle_alpha 90.00
_cell_angle_beta 90.00
_cell_angle_gamma 90.00
loop_
_space_group_symop_operation_xyz
'x,y,z'
loop_
_atom_site_label
_atom_site_fract_x
_atom_site_fract_y
_atom_site_fract_z
_atom_site_occupancy
Rh1 0.500 0.500 0.500 1
As1 0.000 0.500 0.000 1
As2 0.500 0.000 0.000 1
Re1 0.000 0.000 0.000 1
As3 0.000 0.000 0.500 1
```

No. 7
A plane-wave DFT calculation with PBE-GGA was carried out for a relaxed structure of ReAsRh2.

As for the formation energy from the elements: 63 meV per atom. Its spin magnetization is 0.00 μB/f.u.

Cell and atoms, written as CIF:
```
data_ReAsRh2
_space_group_name_H-M_alt 'P 1'
_space_group_IT_number 1
_cell_length_a 5.037
_cell_length_b 5.037
_cell_length_c 5.037
_cell_angle_alpha 143.28
_cell_angle_beta 129.89
_cell_angle_gamma 63.71
loop_
_space_group_symop_operation_xyz
'x,y,z'
loop_
_atom_site_label
_atom_site_fract_x
_atom_site_fract_y
_atom_site_fract_z
_atom_site_occupancy
As1 0.750 0.250 0.500 1
Rh1 0.975 0.975 0.000 1
Re1 0.250 0.750 0.500 1
Rh2 0.525 0.525 0.000 1
```

No. 8
A plane-wave DFT calculation with PBE-GGA was carried out for a relaxed structure of ReAsRh2.

As for the formation energy from the elements: 111 meV per atom. Its spin magnetization is 0.00 μB/f.u.

Cell and atoms, written as CIF:
```
data_ReAsRh2
_space_group_name_H-M_alt 'P 1'
_space_group_IT_number 1
_cell_length_a 4.542
_cell_length_b 4.542
_cell_length_c 4.542
_cell_angle_alpha 126.65
_cell_angle_beta 126.65
_cell_angle_gamma 78.82
loop_
_space_group_symop_operation_xyz
'x,y,z'
loop_
_atom_site_label
_atom_site_fract_x
_atom_site_fract_y
_atom_site_fract_z
_atom_site_occupancy
Rh1 0.000 0.000 0.000 1
As1 0.500 0.500 0.000 1
Re1 0.750 0.250 0.500 1
Rh2 0.250 0.750 0.500 1
```

No. 9
A plane-wave DFT calculation with PBE-GGA was carried out for a relaxed structure of ReAsRh2.

As for the formation energy from the elements: 53 meV per atom. Its spin magnetization is 0.00 μB/f.u.

Cell and atoms, written as CIF:
```
data_ReAsRh2
_space_group_name_H-M_alt 'P 1'
_space_group_IT_number 1
_cell_length_a 2.940
_cell_length_b 2.940
_cell_length_c 6.831
_cell_angle_alpha 90.00
_cell_angle_beta 90.00
_cell_angle_gamma 90.00
loop_
_space_group_symop_operation_xyz
'x,y,z'
loop_
_atom_site_label
_atom_site_fract_x
_atom_site_fract_y
_atom_site_fract_z
_atom_site_occupancy
As1 0.000 0.000 0.493 1
Rh1 0.500 0.500 0.283 1
Rh2 0.000 0.000 0.981 1
Re1 0.500 0.500 0.743 1
```

No. 10
A plane-wave DFT calculation with PBE-GGA was carried out for a relaxed structure of Re2AsRh.

As for the formation energy from the elements: 59 meV per atom. Its spin magnetization is 0.00 μB/f.u.

Cell and atoms, written as CIF:
```
data_Re2AsRh
_space_group_name_H-M_alt 'P 1'
_space_group_IT_number 1
_cell_length_a 8.730
_cell_length_b 8.730
_cell_length_c 8.730
_cell_angle_alpha 18.70
_cell_angle_beta 18.70
_cell_angle_gamma 18.70
loop_
_space_group_symop_operation_xyz
'x,y,z'
loop_
_atom_site_label
_atom_site_fract_x
_atom_site_fract_y
_atom_site_fract_z
_atom_site_occupancy
As1 0.751 0.751 0.751 1
Rh1 0.497 0.497 0.497 1
Re1 0.001 0.001 0.001 1
Re2 0.251 0.251 0.251 1
```

No. 11
A plane-wave DFT calculation with PBE-GGA was carried out for a relaxed structure of Re2AsRh.

As for the formation energy from the elements: 394 meV per atom. Its spin magnetization is 0.00 μB/f.u.

Cell and atoms, written as CIF:
```
data_Re2AsRh
_space_group_name_H-M_alt 'P 1'
_space_group_IT_number 1
_cell_length_a 4.858
_cell_length_b 4.858
_cell_length_c 2.832
_cell_angle_alpha 90.00
_cell_angle_beta 90.00
_cell_angle_gamma 115.80
loop_
_space_group_symop_operation_xyz
'x,y,z'
loop_
_atom_site_label
_atom_site_fract_x
_atom_site_fract_y
_atom_site_fract_z
_atom_site_occupancy
Rh1 0.500 0.000 0.500 1
Re1 0.000 0.000 0.000 1
As1 0.000 0.500 0.500 1
Re2 0.500 0.500 0.000 1
```

No. 12
A plane-wave DFT calculation with PBE-GGA was carried out for a relaxed structure of Re2AsRh.

As for the formation energy from the elements: 468 meV per atom. Its spin magnetization is 1.31 μB/f.u.

Cell and atoms, written as CIF:
```
data_Re2AsRh
_space_group_name_H-M_alt 'P 1'
_space_group_IT_number 1
_cell_length_a 4.419
_cell_length_b 4.419
_cell_length_c 4.419
_cell_angle_alpha 60.00
_cell_angle_beta 60.00
_cell_angle_gamma 60.00
loop_
_space_group_symop_operation_xyz
'x,y,z'
loop_
_atom_site_label
_atom_site_fract_x
_atom_site_fract_y
_atom_site_fract_z
_atom_site_occupancy
As1 0.500 0.500 0.500 1
Rh1 0.750 0.750 0.750 1
Re1 0.000 0.000 0.000 1
Re2 0.250 0.250 0.250 1
```